This record from Alexandria describes HgSbRu2 after structural relaxation. The functional is PBE-GGA.

Cell: 2.917 3.563 7.673 Å, 90.00 90.00 90.00°
Atoms (fractional coordinates):
Hg 0.500 0.500 0.809
Ru 0.000 0.000 0.050
Ru 0.500 0.500 0.212
Sb 0.000 0.000 0.429

Results
DOS(E_F) = 0.747 states/eV per atom
E_tot = -21.711 eV for the cell shown
Space group = No. 25

---

This record from Alexandria describes HgSbRu2 after structural relaxation. The functional is PBE-GGA.

Cell: 5.252 5.252 5.252 Å, 135.41 135.41 64.89°
Last column: magnetic moment on the atom in μB.
Atoms (fractional coordinates):
Hg 0.750 0.250 0.500  0.01
Ru 0.000 0.000 0.000  0.69
Ru 0.250 0.750 0.500  0.61
Sb 0.500 0.500 0.000  -0.01

Results
DOS(E_F) = 1.355 states/eV per atom
E_tot = -20.735 eV for the cell shown
Space group = No. 119